[1]
# Tm3Zn2Pd, optimized geometry, DFT GGA-PBE
data_Tm3Zn2Pd
_chemical_formula_sum 'Tm3 Zn2 Pd1'
_cell_length_a 3.519
_cell_length_b 3.519
_cell_length_c 10.348
_cell_angle_alpha 90.00
_cell_angle_beta 90.00
_cell_angle_gamma 90.00
_space_group_name_H-M_alt 'P 4/m m m'
_space_group_IT_number 123
_space_group_name_Hall '-P 4 2'
loop_
_atom_site_label
_atom_site_type_symbol
_atom_site_fract_x
_atom_site_fract_y
_atom_site_fract_z
Tm1 Tm 0.000 0.000 0.000
Tm2 Tm 0.000 0.000 0.338
Zn1 Zn 0.500 0.500 0.165
Pd1 Pd 0.500 0.500 0.500
# Polymorph energy (0 for the lowest one) = 0.000 eV/atom
# Formation energy from the elements = -54.3 kJ/mol of atoms
# Energy = -4.09 eV/atom

[2]
# Tm7Zn2Pd2, optimized geometry, DFT GGA-PBE
data_Tm7Zn2Pd2
_chemical_formula_sum 'Tm14 Zn4 Pd4'
_cell_length_a 7.653
_cell_length_b 10.713
_cell_length_c 7.051
_cell_angle_alpha 90.00
_cell_angle_beta 90.00
_cell_angle_gamma 90.00
_space_group_name_H-M_alt 'C m m m'
_space_group_IT_number 65
_space_group_name_Hall '-C 2 2'
loop_
_atom_site_label
_atom_site_type_symbol
_atom_site_fract_x
_atom_site_fract_y
_atom_site_fract_z
Tm1 Tm 0.000 0.000 0.000
Tm2 Tm 0.000 0.500 0.261
Tm3 Tm 0.250 0.250 0.267
Zn1 Zn 0.169 0.000 0.500
Pd1 Pd 0.000 0.292 0.000
# Formation energy from the elements = -26.2 kJ/mol of atoms
# Energy = -4.29 eV/atom

[3]
# TmZnPd, optimized geometry, DFT GGA-PBE
data_TmZnPd
_chemical_formula_sum 'Tm4 Zn4 Pd4'
_cell_length_a 6.832
_cell_length_b 4.211
_cell_length_c 8.002
_cell_angle_alpha 90.00
_cell_angle_beta 90.00
_cell_angle_gamma 90.00
_space_group_name_H-M_alt 'P n m a'
_space_group_IT_number 62
loop_
_space_group_symop_operation_xyz
'x,y,z'
'-x,-y,-z'
'-x+1/2,-y,z+1/2'
'x+1/2,y,-z+1/2'
'x+1/2,-y+1/2,-z+1/2'
'-x+1/2,y+1/2,z+1/2'
'-x,y+1/2,-z'
'x,-y+1/2,z'
loop_
_atom_site_label
_atom_site_type_symbol
_atom_site_fract_x
_atom_site_fract_y
_atom_site_fract_z
Tm1 Tm 0.038 0.250 0.188
Zn1 Zn 0.145 0.250 0.564
Pd1 Pd 0.245 0.750 0.381
# Polymorph energy (0 for the lowest one) = 0.000 eV/atom
# Formation energy from the elements = -74.1 kJ/mol of atoms
# Energy = -4.41 eV/atom

[4]
# Tm6Zn5Pd, optimized geometry, DFT GGA-PBE
data_Tm6Zn5Pd
_chemical_formula_sum 'Tm6 Zn5 Pd1'
_cell_length_a 4.959
_cell_length_b 7.008
_cell_length_c 7.844
_cell_angle_alpha 90.00
_cell_angle_beta 108.36
_cell_angle_gamma 90.00
_space_group_name_H-M_alt 'P 1 2/m 1'
_space_group_IT_number 10
loop_
_space_group_symop_operation_xyz
'x,y,z'
'-x,-y,-z'
'-x,y,-z'
'x,-y,z'
loop_
_atom_site_label
_atom_site_type_symbol
_atom_site_fract_x
_atom_site_fract_y
_atom_site_fract_z
Tm1 Tm 0.000 0.247 0.000
Tm2 Tm 0.335 0.250 0.670
Zn1 Zn 0.168 0.500 0.335
Zn2 Zn 0.172 0.000 0.344
Zn3 Zn 0.500 0.500 0.000
Pd1 Pd 0.500 0.000 0.000
# Formation energy from the elements = -44.2 kJ/mol of atoms
# Energy = -3.66 eV/atom

[5]
# TmZn2Pd4, optimized geometry, DFT GGA-PBE
data_TmZn2Pd4
_chemical_formula_sum 'Tm2 Zn4 Pd8'
_cell_length_a 6.483
_cell_length_b 6.483
_cell_length_c 5.824
_cell_angle_alpha 90.00
_cell_angle_beta 90.00
_cell_angle_gamma 90.00
_space_group_name_H-M_alt 'I 4/m m m'
_space_group_IT_number 139
_space_group_name_Hall '-I 4 2'
loop_
_atom_site_label
_atom_site_type_symbol
_atom_site_fract_x
_atom_site_fract_y
_atom_site_fract_z
Tm1 Tm 0.000 0.000 0.000
Zn1 Zn 0.000 0.500 0.000
Pd1 Pd 0.250 0.250 0.250
# Formation energy from the elements = -48.9 kJ/mol of atoms
# Energy = -4.48 eV/atom

[6]
# Tm8ZnPd2, optimized geometry, DFT GGA-PBE
data_Tm8ZnPd2
_chemical_formula_sum 'Tm16 Zn2 Pd4'
_cell_length_a 8.406
_cell_length_b 13.319
_cell_length_c 5.476
_cell_angle_alpha 90.00
_cell_angle_beta 107.38
_cell_angle_gamma 90.00
_space_group_name_H-M_alt 'C 1 m 1'
_space_group_IT_number 8
loop_
_space_group_symop_operation_xyz
'x,y,z'
'x,-y,z'
'x+1/2,y+1/2,z'
'x+1/2,-y+1/2,z'
loop_
_atom_site_label
_atom_site_type_symbol
_atom_site_fract_x
_atom_site_fract_y
_atom_site_fract_z
Tm1 Tm 0.000 0.000 0.000
Tm2 Tm 0.092 0.375 0.791
Tm3 Tm 0.173 0.124 0.599
Tm4 Tm 0.257 0.500 0.379
Tm5 Tm 0.385 0.227 0.189
Zn1 Zn 0.382 0.000 0.110
Pd1 Pd 0.380 0.303 0.685
# Polymorph energy (0 for the lowest one) = 0.125 eV/atom
# Formation energy from the elements = -26.4 kJ/mol of atoms
# Energy = -4.59 eV/atom

[7]
# TmZn8Pd4, optimized geometry, DFT GGA-PBE
data_TmZn8Pd4
_chemical_formula_sum 'Tm2 Zn16 Pd8'
_cell_length_a 8.742
_cell_length_b 8.742
_cell_length_c 5.487
_cell_angle_alpha 90.00
_cell_angle_beta 90.00
_cell_angle_gamma 90.00
_space_group_name_H-M_alt 'I 4/m m m'
_space_group_IT_number 139
_space_group_name_Hall '-I 4 2'
loop_
_atom_site_label
_atom_site_type_symbol
_atom_site_fract_x
_atom_site_fract_y
_atom_site_fract_z
Tm1 Tm 0.000 0.000 0.000
Zn1 Zn 0.000 0.216 0.500
Zn2 Zn 0.000 0.347 0.000
Pd1 Pd 0.250 0.250 0.250
# Formation energy from the elements = -42.4 kJ/mol of atoms
# Energy = -3.16 eV/atom

[8]
# Tm3Zn2Pd7, optimized geometry, DFT GGA-PBE
data_Tm3Zn2Pd7
_chemical_formula_sum 'Tm6 Zn4 Pd14'
_cell_length_a 4.158
_cell_length_b 26.886
_cell_length_c 3.967
_cell_angle_alpha 90.00
_cell_angle_beta 90.00
_cell_angle_gamma 90.00
_space_group_name_H-M_alt 'C m m m'
_space_group_IT_number 65
_space_group_name_Hall '-C 2 2'
loop_
_atom_site_label
_atom_site_type_symbol
_atom_site_fract_x
_atom_site_fract_y
_atom_site_fract_z
Tm1 Tm 0.000 0.000 0.000
Tm2 Tm 0.000 0.179 0.000
Zn1 Zn 0.000 0.368 0.500
Pd1 Pd 0.000 0.079 0.500
Pd2 Pd 0.000 0.279 0.500
Pd3 Pd 0.000 0.424 0.000
Pd4 Pd 0.000 0.500 0.500
# Formation energy from the elements = -70.3 kJ/mol of atoms
# Energy = -5.09 eV/atom

[9]
# TmZn2Pd2, optimized geometry, DFT GGA-PBE
data_TmZn2Pd2
_chemical_formula_sum 'Tm2 Zn4 Pd4'
_cell_length_a 8.027
_cell_length_b 4.682
_cell_length_c 4.948
_cell_angle_alpha 90.00
_cell_angle_beta 109.43
_cell_angle_gamma 90.00
_space_group_name_H-M_alt 'C 1 2/m 1'
_space_group_IT_number 12
loop_
_space_group_symop_operation_xyz
'x,y,z'
'-x,-y,-z'
'-x,y,-z'
'x,-y,z'
'x+1/2,y+1/2,z'
'-x+1/2,-y+1/2,-z'
'-x+1/2,y+1/2,-z'
'x+1/2,-y+1/2,z'
loop_
_atom_site_label
_atom_site_type_symbol
_atom_site_fract_x
_atom_site_fract_y
_atom_site_fract_z
Tm1 Tm 0.000 0.000 0.000
Zn1 Zn 0.238 0.500 0.351
Pd1 Pd 0.119 0.500 0.788
# Polymorph energy (0 for the lowest one) = 0.000 eV/atom
# Formation energy from the elements = -63.0 kJ/mol of atoms
# Energy = -4.13 eV/atom

[10]
# TmZn3Pd3, optimized geometry, DFT GGA-PBE
data_TmZn3Pd3
_chemical_formula_sum 'Tm6 Zn18 Pd18'
_cell_length_a 6.6924
_cell_length_b 6.6924
_cell_length_c 18.7331
_cell_angle_alpha 90.00
_cell_angle_beta 90.00
_cell_angle_gamma 120.00
_space_group_name_H-M_alt 'R -3'
_space_group_IT_number 148
_space_group_name_Hall '-R 3'
loop_
_atom_site_label
_atom_site_type_symbol
_atom_site_fract_x
_atom_site_fract_y
_atom_site_fract_z
Tm1 Tm 0.0000 0.0000 0.1604
Zn1 Zn 0.0404 0.6085 0.3704
Pd1 Pd 0.0057 0.7596 0.5641
# Polymorph energy (0 for the lowest one) = 0.000 eV/atom
# Formation energy from the elements = -52.7 kJ/mol of atoms
# Energy = -3.96 eV/atom

[11]
# TmZn2Pd7, optimized geometry, DFT GGA-PBE
data_TmZn2Pd7
_chemical_formula_sum 'Tm2 Zn4 Pd14'
_cell_length_a 7.260
_cell_length_b 12.476
_cell_length_c 4.424
_cell_angle_alpha 90.00
_cell_angle_beta 90.00
_cell_angle_gamma 90.00
_space_group_name_H-M_alt 'C m m m'
_space_group_IT_number 65
_space_group_name_Hall '-C 2 2'
loop_
_atom_site_label
_atom_site_type_symbol
_atom_site_fract_x
_atom_site_fract_y
_atom_site_fract_z
Tm1 Tm 0.000 0.000 0.000
Zn1 Zn 0.000 0.300 0.500
Pd1 Pd 0.000 0.213 0.000
Pd2 Pd 0.000 0.500 0.500
Pd3 Pd 0.186 0.116 0.500
# Formation energy from the elements = -13.5 kJ/mol of atoms
# Energy = -4.48 eV/atom

[12]
# TmZnPd6, optimized geometry, DFT GGA-PBE
data_TmZnPd6
_chemical_formula_sum 'Tm1 Zn1 Pd6'
_cell_length_a 4.024
_cell_length_b 4.024
_cell_length_c 7.955
_cell_angle_alpha 90.00
_cell_angle_beta 90.00
_cell_angle_gamma 90.00
_space_group_name_H-M_alt 'P 4/m m m'
_space_group_IT_number 123
_space_group_name_Hall '-P 4 2'
loop_
_atom_site_label
_atom_site_type_symbol
_atom_site_fract_x
_atom_site_fract_y
_atom_site_fract_z
Tm1 Tm 0.000 0.000 0.000
Zn1 Zn 0.000 0.000 0.500
Pd1 Pd 0.000 0.500 0.262
Pd2 Pd 0.500 0.500 0.000
Pd3 Pd 0.500 0.500 0.500
# Polymorph energy (0 for the lowest one) = 0.000 eV/atom
# Formation energy from the elements = -57.3 kJ/mol of atoms
# Energy = -5.21 eV/atom

[13]
# Tm2ZnPd6, optimized geometry, DFT GGA-PBE
data_Tm2ZnPd6
_chemical_formula_sum 'Tm4 Zn2 Pd12'
_cell_length_a 13.726
_cell_length_b 7.569
_cell_length_c 3.384
_cell_angle_alpha 90.00
_cell_angle_beta 103.90
_cell_angle_gamma 90.00
_space_group_name_H-M_alt 'C 1 2/m 1'
_space_group_IT_number 12
loop_
_space_group_symop_operation_xyz
'x,y,z'
'-x,-y,-z'
'-x,y,-z'
'x,-y,z'
'x+1/2,y+1/2,z'
'-x+1/2,-y+1/2,-z'
'-x+1/2,y+1/2,-z'
'x+1/2,-y+1/2,z'
loop_
_atom_site_label
_atom_site_type_symbol
_atom_site_fract_x
_atom_site_fract_y
_atom_site_fract_z
Tm1 Tm 0.154 0.000 0.151
Zn1 Zn 0.000 0.500 0.500
Pd1 Pd 0.000 0.249 0.000
Pd2 Pd 0.166 0.297 0.664
# Formation energy from the elements = -51.5 kJ/mol of atoms
# Energy = -5.13 eV/atom

[14]
# Tm3Zn5Pd12, optimized geometry, DFT GGA-PBE
data_Tm3Zn5Pd12
_chemical_formula_sum 'Tm24 Zn40 Pd96'
_cell_length_a 15.061
_cell_length_b 15.061
_cell_length_c 15.061
_cell_angle_alpha 90.00
_cell_angle_beta 90.00
_cell_angle_gamma 90.00
_space_group_name_H-M_alt 'I a -3 d'
_space_group_IT_number 230
_space_group_name_Hall '-I 4bd 2c 3'
loop_
_atom_site_label
_atom_site_type_symbol
_atom_site_fract_x
_atom_site_fract_y
_atom_site_fract_z
Tm1 Tm 0.000 0.250 0.125
Zn1 Zn 0.000 0.000 0.000
Zn2 Zn 0.000 0.250 0.375
Pd1 Pd 0.012 0.069 0.650
# Formation energy from the elements = -15.5 kJ/mol of atoms
# Energy = -4.27 eV/atom

[15]
# Tm2ZnPd3, optimized geometry, DFT GGA-PBE
data_Tm2ZnPd3
_chemical_formula_sum 'Tm4 Zn2 Pd6'
_cell_length_a 4.499
_cell_length_b 5.389
_cell_length_c 9.988
_cell_angle_alpha 90.00
_cell_angle_beta 90.00
_cell_angle_gamma 90.00
_space_group_name_H-M_alt 'I m m m'
_space_group_IT_number 71
_space_group_name_Hall '-I 2 2'
loop_
_atom_site_label
_atom_site_type_symbol
_atom_site_fract_x
_atom_site_fract_y
_atom_site_fract_z
Tm1 Tm 0.000 0.000 0.189
Zn1 Zn 0.000 0.000 0.500
Pd1 Pd 0.000 0.500 0.133
Pd2 Pd 0.000 0.500 0.500
# Polymorph energy (0 for the lowest one) = 0.187 eV/atom
# Formation energy from the elements = -61.0 kJ/mol of atoms
# Energy = -4.93 eV/atom

[16]
# TmZnPd, optimized geometry, DFT GGA-PBE
data_TmZnPd
_chemical_formula_sum 'Tm4 Zn4 Pd4'
_cell_length_a 6.409
_cell_length_b 6.409
_cell_length_c 6.409
_cell_angle_alpha 90.00
_cell_angle_beta 90.00
_cell_angle_gamma 90.00
_space_group_name_H-M_alt 'F -4 3 m'
_space_group_IT_number 216
_space_group_name_Hall 'F -4 2 3'
loop_
_atom_site_label
_atom_site_type_symbol
_atom_site_fract_x
_atom_site_fract_y
_atom_site_fract_z
Tm1 Tm 0.000 0.000 0.000
Zn1 Zn 0.000 0.000 0.500
Pd1 Pd 0.250 0.250 0.250
# Polymorph energy (0 for the lowest one) = 0.191 eV/atom
# Formation energy from the elements = -55.6 kJ/mol of atoms
# Energy = -4.22 eV/atom

[17]
# TmZn9Pd3, optimized geometry, DFT GGA-PBE
data_TmZn9Pd3
_chemical_formula_sum 'Tm2 Zn18 Pd6'
_cell_length_a 5.320
_cell_length_b 12.566
_cell_length_c 6.713
_cell_angle_alpha 90.00
_cell_angle_beta 111.86
_cell_angle_gamma 90.00
_space_group_name_H-M_alt 'C 1 2/m 1'
_space_group_IT_number 12
loop_
_space_group_symop_operation_xyz
'x,y,z'
'-x,-y,-z'
'-x,y,-z'
'x,-y,z'
'x+1/2,y+1/2,z'
'-x+1/2,-y+1/2,-z'
'-x+1/2,y+1/2,-z'
'x+1/2,-y+1/2,z'
loop_
_atom_site_label
_atom_site_type_symbol
_atom_site_fract_x
_atom_site_fract_y
_atom_site_fract_z
Tm1 Tm 0.000 0.000 0.000
Zn1 Zn 0.000 0.500 0.500
Zn2 Zn 0.102 0.393 0.214
Zn3 Zn 0.159 0.176 0.345
Pd1 Pd 0.000 0.000 0.500
Pd2 Pd 0.250 0.250 0.000
# Formation energy from the elements = -35.8 kJ/mol of atoms
# Energy = -2.79 eV/atom

[18]
# TmZn12Pd6, optimized geometry, DFT GGA-PBE
data_TmZn12Pd6
_chemical_formula_sum 'Tm3 Zn36 Pd18'
_cell_length_a 11.4269
_cell_length_b 11.4269
_cell_length_c 8.4541
_cell_angle_alpha 90.00
_cell_angle_beta 90.00
_cell_angle_gamma 120.00
_space_group_name_H-M_alt 'R -3 m'
_space_group_IT_number 166
_space_group_name_Hall '-R 3 2"'
loop_
_atom_site_label
_atom_site_type_symbol
_atom_site_fract_x
_atom_site_fract_y
_atom_site_fract_z
Tm1 Tm 0.0000 0.0000 0.0000
Zn1 Zn 0.0000 0.3894 0.5000
Zn2 Zn 0.0816 0.1631 0.2994
Pd1 Pd 0.0503 0.5251 0.2387
# Formation energy from the elements = -28.8 kJ/mol of atoms
# Energy = -2.98 eV/atom

[19]
# Tm5Zn4Pd, optimized geometry, DFT GGA-PBE
data_Tm5Zn4Pd
_chemical_formula_sum 'Tm5 Zn4 Pd1'
_cell_length_a 3.521
_cell_length_b 3.521
_cell_length_c 17.365
_cell_angle_alpha 90.00
_cell_angle_beta 90.00
_cell_angle_gamma 90.00
_space_group_name_H-M_alt 'P 4/m m m'
_space_group_IT_number 123
_space_group_name_Hall '-P 4 2'
loop_
_atom_site_label
_atom_site_type_symbol
_atom_site_fract_x
_atom_site_fract_y
_atom_site_fract_z
Tm1 Tm 0.000 0.000 0.000
Tm2 Tm 0.000 0.000 0.202
Tm3 Tm 0.000 0.000 0.403
Zn1 Zn 0.500 0.500 0.102
Zn2 Zn 0.500 0.500 0.301
Pd1 Pd 0.500 0.500 0.500
# Formation energy from the elements = -46.1 kJ/mol of atoms
# Energy = -3.74 eV/atom